1.
A plane-wave DFT calculation with PBE was carried out for DyErH2Cl4 after structural relaxation.

Lattice parameters (Å, degrees): 3.7175 3.7175 13.3415 90.00 90.00 120.00
Space group P-6m2 (No. 187)
Unique sites:
Dy: 0.0000 0.0000 0.0000
Er: 0.0000 0.0000 0.5000
H: 0.3333 0.6667 0.5000
H: 0.6667 0.3333 0.0000
Cl: 0.3333 0.6667 0.1313
Cl: 0.6667 0.3333 0.3698

Calculated values
* total energy: -37.44 eV/cell
* total magnetic moment: 0.00 μB/cell



2.
A plane-wave DFT calculation with PBE was carried out for DyErNCl3 after structural relaxation.

Lattice parameters (Å, degrees): 16.573 3.808 10.803 90.00 122.51 90.00
Space group C2/m (No. 12)
Unique sites:
Dy: 0.138 0.000 0.292
Er: 0.082 0.500 0.957
N: 0.076 0.500 0.156
Cl: 0.045 0.000 0.753
Cl: 0.166 0.500 0.513
Cl: 0.217 0.000 0.112

Calculated values
* energy above the most stable polymorph in this dataset: 0.0000 eV/atom
* total energy: -143.34 eV/cell
* total magnetic moment: 0.01 μB/cell



3.
A plane-wave DFT calculation with PBE was carried out for DyErNCl3 after structural relaxation.

Lattice parameters (Å, degrees): 16.520 3.800 10.795 90.00 122.70 90.00
Space group C2/m (No. 12)
Unique sites:
Dy: 0.083 0.000 0.456
Er: 0.138 0.500 0.793
N: 0.077 0.000 0.659
Cl: 0.042 0.500 0.248
Cl: 0.168 0.000 0.012
Cl: 0.220 0.500 0.616

Calculated values
* energy above the most stable polymorph in this dataset: 0.0092 eV/atom
* total energy: -143.12 eV/cell
* total magnetic moment: 0.01 μB/cell



4.
A plane-wave DFT calculation with PBE was carried out for DyErCl2O2 after structural relaxation.

Lattice parameters (Å, degrees): 3.793 3.793 7.345 90.00 90.00 90.00
Space group P4mm (No. 99)
Unique sites:
Dy: 0.000 0.000 0.000
Er: 0.500 0.500 0.313
Cl: 0.000 0.000 0.508
Cl: 0.500 0.500 0.808
O: 0.000 0.500 0.159

Calculated values
* total energy: -41.22 eV/cell
* total magnetic moment: 0.00 μB/cell



5.
A plane-wave DFT calculation with PBE was carried out for DyErS2Cl2 after structural relaxation.

Lattice parameters (Å, degrees): 3.974 5.332 8.393 90.00 90.00 90.00
Space group Pmm2 (No. 25)
Unique sites:
Dy: 0.000 0.000 0.000
Er: 0.500 0.500 0.278
S: 0.000 0.500 0.056
S: 0.500 0.000 0.226
Cl: 0.000 0.500 0.487
Cl: 0.500 0.000 0.788

Calculated values
* total energy: -34.24 eV/cell
* total magnetic moment: 0.00 μB/cell



6.
A plane-wave DFT calculation with PBE was carried out for DyErSbCl2 after structural relaxation.

Lattice parameters (Å, degrees): 4.1404 4.1404 10.4599 90.00 90.00 120.00
Space group P3m1 (No. 156)
Unique sites:
Dy: 0.0000 0.0000 0.0000
Er: 0.6667 0.3333 0.6642
Sb: 0.3333 0.6667 0.8302
Cl: 0.0000 0.0000 0.5199
Cl: 0.6667 0.3333 0.1461

Calculated values
* total energy: -24.99 eV/cell
* total magnetic moment: 0.02 μB/cell



7.
A plane-wave DFT calculation with PBE was carried out for Dy2NClF after structural relaxation.

Lattice parameters (Å, degrees): 3.5116 3.5116 8.2396 90.00 90.00 120.00
Space group P3m1 (No. 156)
Unique sites:
Dy: 0.0000 0.0000 0.0000
Dy: 0.3333 0.6667 0.3212
N: 0.6667 0.3333 0.1650
Cl: 0.3333 0.6667 0.7793
F: 0.0000 0.0000 0.4623

Calculated values
* total energy: -33.19 eV/cell
* total magnetic moment: 0.00 μB/cell



8.
A plane-wave DFT calculation with PBE was carried out for DyHoFe2Cl2 after structural relaxation.

Lattice parameters (Å, degrees): 3.7926 3.7926 11.0442 90.00 90.00 120.00
Space group P3m1 (No. 156)
Unique sites:
Dy: 0.0000 0.0000 0.0000
Ho: 0.0000 0.0000 0.3609
Fe: 0.3333 0.6667 0.1905
Fe: 0.6667 0.3333 0.1707
Cl: 0.3333 0.6667 0.8431
Cl: 0.6667 0.3333 0.5177

Calculated values
* total energy: -36.16 eV/cell
* total magnetic moment: 1.40 μB/cell



9.
A plane-wave DFT calculation with PBE was carried out for DyLuFe2Cl2 after structural relaxation.

Lattice parameters (Å, degrees): 3.7692 3.7692 10.9709 90.00 90.00 120.00
Space group P3m1 (No. 156)
Unique sites:
Dy: 0.0000 0.0000 0.0000
Lu: 0.0000 0.0000 0.3607
Fe: 0.3333 0.6667 0.1936
Fe: 0.6667 0.3333 0.1739
Cl: 0.3333 0.6667 0.8400
Cl: 0.6667 0.3333 0.5152

Calculated values
* total energy: -36.12 eV/cell
* total magnetic moment: 1.33 μB/cell



10.
A plane-wave DFT calculation with PBE was carried out for DyTmFe2Cl2 after structural relaxation.

Lattice parameters (Å, degrees): 3.7776 3.7776 11.0090 90.00 90.00 120.00
Space group P3m1 (No. 156)
Unique sites:
Dy: 0.0000 0.0000 0.0000
Tm: 0.0000 0.0000 0.3611
Fe: 0.3333 0.6667 0.1919
Fe: 0.6667 0.3333 0.1729
Cl: 0.3333 0.6667 0.8417
Cl: 0.6667 0.3333 0.5165

Calculated values
* total energy: -36.08 eV/cell
* total magnetic moment: 1.38 μB/cell



11.
A plane-wave DFT calculation with PBE was carried out for DyYFe2Cl2 after structural relaxation.

Lattice parameters (Å, degrees): 3.8011 3.8011 11.0713 90.00 90.00 120.00
Space group P3m1 (No. 156)
Unique sites:
Dy: 0.0000 0.0000 0.0000
Y: 0.0000 0.0000 0.3612
Fe: 0.3333 0.6667 0.1902
Fe: 0.6667 0.3333 0.1705
Cl: 0.3333 0.6667 0.8431
Cl: 0.6667 0.3333 0.5180

Calculated values
* total energy: -38.04 eV/cell
* total magnetic moment: 1.42 μB/cell



12.
A plane-wave DFT calculation with PBE was carried out for DyHoGa2Cl2 after structural relaxation.

Lattice parameters (Å, degrees): 4.0681 4.0681 10.9425 90.00 90.00 120.00
Space group P3m1 (No. 156)
Unique sites:
Dy: 0.0000 0.0000 0.0000
Ho: 0.0000 0.0000 0.6227
Ga: 0.3333 0.6667 0.8432
Ga: 0.6667 0.3333 0.7784
Cl: 0.3333 0.6667 0.4794
Cl: 0.6667 0.3333 0.1445

Calculated values
* total energy: -27.03 eV/cell
* total magnetic moment: 0.01 μB/cell



13.
A plane-wave DFT calculation with PBE was carried out for NdDyGa2Cl2 after structural relaxation.

Lattice parameters (Å, degrees): 4.1301 4.1301 11.0462 90.00 90.00 120.00
Space group P3m1 (No. 156)
Unique sites:
Nd: 0.0000 0.0000 0.0000
Dy: 0.0000 0.0000 0.6199
Ga: 0.3333 0.6667 0.8351
Ga: 0.6667 0.3333 0.7754
Cl: 0.3333 0.6667 0.4807
Cl: 0.6667 0.3333 0.1496

Calculated values
* total energy: -27.39 eV/cell
* total magnetic moment: 0.01 μB/cell



14.
A plane-wave DFT calculation with PBE was carried out for Dy2GaNiCl2 after structural relaxation.

Lattice parameters (Å, degrees): 4.0368 4.0368 11.2076 90.00 90.00 120.00
Space group P3m1 (No. 156)
Unique sites:
Dy: 0.0000 0.0000 0.0000
Dy: 0.0000 0.0000 0.3354
Ga: 0.3333 0.6667 0.1637
Ni: 0.6667 0.3333 0.1737
Cl: 0.3333 0.6667 0.4842
Cl: 0.6667 0.3333 0.8531

Calculated values
* total energy: -29.42 eV/cell
* total magnetic moment: 0.15 μB/cell



15.
A plane-wave DFT calculation with PBE was carried out for GdDyH2Cl4 after structural relaxation.

Lattice parameters (Å, degrees): 3.7635 3.7635 13.3228 90.00 90.00 120.00
Space group P-6m2 (No. 187)
Unique sites:
Gd: 0.0000 0.0000 0.0000
Dy: 0.0000 0.0000 0.5000
H: 0.3333 0.6667 0.5000
H: 0.6667 0.3333 0.0000
Cl: 0.3333 0.6667 0.1326
Cl: 0.6667 0.3333 0.3694

Calculated values
* total energy: -37.59 eV/cell
* total magnetic moment: 0.00 μB/cell



16.
A plane-wave DFT calculation with PBE was carried out for GdDyCl2O2 after structural relaxation.

Lattice parameters (Å, degrees): 3.898 3.898 6.736 90.00 90.00 90.00
Space group P4mm (No. 99)
Unique sites:
Gd: 0.000 0.000 0.000
Dy: 0.500 0.500 0.339
Cl: 0.000 0.000 0.544
Cl: 0.500 0.500 0.800
O: 0.000 0.500 0.173

Calculated values
* total energy: -41.32 eV/cell
* total magnetic moment: 0.00 μB/cell



17.
A plane-wave DFT calculation with PBE was carried out for GdDyS2Cl2 after structural relaxation.

Lattice parameters (Å, degrees): 4.021 5.368 8.772 90.00 90.00 90.00
Space group Pmm2 (No. 25)
Unique sites:
Gd: 0.000 0.000 0.000
Dy: 0.500 0.500 0.730
S: 0.000 0.500 0.943
S: 0.500 0.000 0.782
Cl: 0.000 0.500 0.529
Cl: 0.500 0.000 0.204

Calculated values
* total energy: -34.31 eV/cell
* total magnetic moment: 0.00 μB/cell



18.
A plane-wave DFT calculation with PBE was carried out for GdDySbCl2 after structural relaxation.

Lattice parameters (Å, degrees): 4.1805 4.1805 10.5325 90.00 90.00 120.00
Space group P3m1 (No. 156)
Unique sites:
Gd: 0.0000 0.0000 0.0000
Dy: 0.3333 0.6667 0.3367
Sb: 0.6667 0.3333 0.1705
Cl: 0.0000 0.0000 0.4808
Cl: 0.3333 0.6667 0.8538

Calculated values
* total energy: -25.27 eV/cell
* total magnetic moment: 0.01 μB/cell



19.
A plane-wave DFT calculation with PBE was carried out for SmDyGeCl2 after structural relaxation.

Lattice parameters (Å, degrees): 4.1260 4.1260 9.7276 90.00 90.00 120.00
Space group P3m1 (No. 156)
Unique sites:
Sm: 0.0000 0.0000 0.0000
Dy: 0.6667 0.3333 0.3380
Ge: 0.3333 0.6667 0.1729
Cl: 0.0000 0.0000 0.4949
Cl: 0.6667 0.3333 0.8348

Calculated values
* total energy: -25.82 eV/cell
* total magnetic moment: 0.00 μB/cell



20.
A plane-wave DFT calculation with PBE was carried out for DyTmGeCl2 after structural relaxation.

Lattice parameters (Å, degrees): 4.0469 4.0469 9.5781 90.00 90.00 120.00
Space group P3m1 (No. 156)
Unique sites:
Dy: 0.0000 0.0000 0.0000
Tm: 0.3333 0.6667 0.6656
Ge: 0.6667 0.3333 0.8309
Cl: 0.0000 0.0000 0.5043
Cl: 0.3333 0.6667 0.1638

Calculated values
* total energy: -25.48 eV/cell
* total magnetic moment: 0.00 μB/cell